Record 1
The following is a PBE-GGA calculation of a geometry-optimized ZrScTlPt structure, from Alexandria via LeMat-Bulk.

VASP energy: -6.33 eV/atom
Symmetry: No. 216
Size of the total moment: 0.00 μB/f.u.

Lattice parameters (Å, degrees): 4.888 4.888 4.888 60.00 60.00 60.00
Fractional positions:
Zr 0.000 0.000 0.000
Sc 0.500 0.500 0.500
Tl 0.250 0.250 0.250
Pt 0.750 0.750 0.750

=====

Record 2
The following is a PBE-GGA calculation of a geometry-optimized Y3HoTe structure, from Alexandria via LeMat-Bulk.

E_form (uncorrected): -366 meV/atom
Symmetry: No. 12
ΔE to the lowest computed polymorph: 0.0000 eV per atom
Size of the total moment: 0.00 μB/f.u.

Lattice parameters (Å, degrees): 9.009 9.009 9.982 105.41 105.41 24.05
Fractional positions:
Y 0.002 0.002 0.204
Y 0.101 0.101 0.542
Y 0.322 0.322 0.154
Y 0.678 0.678 0.846
Y 0.899 0.899 0.458
Y 0.998 0.998 0.796
Ho 0.297 0.297 0.660
Ho 0.703 0.703 0.340
Te 0.138 0.138 0.069
Te 0.862 0.862 0.931

=====

Record 3
The following is a PBE-GGA calculation of a geometry-optimized RbDyZnS3 structure, from Alexandria via LeMat-Bulk.

E_form (uncorrected): -1488 meV/atom
Symmetry: No. 11
Size of the total moment: 0.00 μB/f.u.

Lattice parameters (Å, degrees): 9.050 4.014 9.680 90.00 109.30 90.00
Fractional positions:
Rb 0.210 0.250 0.236
Rb 0.790 0.750 0.764
Dy 0.332 0.750 0.860
Dy 0.668 0.250 0.140
Zn 0.084 0.250 0.609
Zn 0.916 0.750 0.391
S 0.120 0.250 0.856
S 0.192 0.750 0.540
S 0.467 0.750 0.153
S 0.533 0.250 0.847
S 0.808 0.250 0.460
S 0.880 0.750 0.144

=====

Record 4
The following is a PBE-GGA calculation of a geometry-optimized Np7Sb2H12 structure, from Alexandria via LeMat-Bulk.

VASP energy: -6.85 eV/atom
Symmetry: No. 147
Size of the total moment: 30.14 μB/f.u.

Lattice parameters (Å, degrees): 8.876 8.876 3.947 90.00 90.00 120.00
Fractional positions:
Np 0.000 0.000 0.000
Np 0.069 0.382 0.259
Np 0.313 0.931 0.259
Np 0.382 0.313 0.741
Np 0.618 0.687 0.259
Np 0.687 0.069 0.741
Np 0.931 0.618 0.741
Sb 0.333 0.667 0.755
Sb 0.667 0.333 0.245
H 0.072 0.640 0.243
H 0.110 0.267 0.759
H 0.158 0.890 0.759
H 0.267 0.158 0.241
H 0.360 0.432 0.243
H 0.432 0.072 0.757
H 0.568 0.928 0.243
H 0.640 0.568 0.757
H 0.733 0.842 0.759
H 0.842 0.110 0.241
H 0.890 0.733 0.241
H 0.928 0.360 0.757